Compound: SrC3
Source: Alexandria
Functional: SCAN
Structure: PBEsol geometry

N(E_F) in states/eV per cell: 0.25
Total moment in μB/atom: 0.000
Formation enthalpy at 0 K in meV per atom: 1230.1
Relative energy among the computed polymorphs in meV/atom: 0
Mass density in g cm⁻³: 4.12

a = 2.719 Å, b = 4.490 Å, c = 4.490 Å
α = 84.64°, β = 72.38°, γ = 72.38°
Fractional positions:
Sr: 0.387 0.613 0.613
C: 0.879 0.235 0.007
C: 0.879 0.007 0.235
C: 0.522 0.978 0.978